Record 1
A plane-wave DFT calculation with GGA-PBE was carried out for an optimized crystal structure of LiVC2Br.

Lattice parameters (Å, degrees): 3.7513 4.6077 3.7513 90.00 90.00 90.00
With the nearest neighbours (Å) after each atom.
Fractional coordinates of all 5 atoms:
C  0.0000  0.0000  0.5000  2 Li 1.88
C  0.5000  0.0000  0.0000  2 Li 1.88
Li  0.0000  0.0000  0.0000  4 C 1.88
Br  0.0000  0.5000  0.0000  2 Li 2.30
V  0.5000  0.5000  0.5000  4 Br 2.65, 8 C 2.97

Computed properties:
- density (g/cm3) = 4.1
- DOS(E_F) (states/eV/cell) = 6.9
- energy (eV/atom) = -4.018
- E_form (uncorrected) (eV/atom) = 2.21
- space-group type = P4/mmm (123)

Record 2
A plane-wave DFT calculation with GGA-PBE was carried out for an optimized crystal structure of Ni3WI.

Lattice parameters (Å, degrees): 4.6374 4.6374 4.6374 90.00 90.00 90.00
With the nearest neighbours (Å) after each atom.
Fractional coordinates of all 5 atoms:
I  0.5000  0.5000  0.5000  12 Ni 3.28
Ni  0.0000  0.5000  0.0000  2 W 2.32
Ni  0.0000  0.0000  0.5000  2 W 2.32
Ni  0.5000  0.0000  0.0000  2 W 2.32
W  0.0000  0.0000  0.0000  6 Ni 2.32

Computed properties:
- density (g/cm3) = 8.1
- DOS(E_F) (states/eV/cell) = 8.5
- energy (eV/atom) = -4.950
- energy relative to the lowest polymorph listed for this composition (kJ/mol of formula units) = 0
- E_form (uncorrected) (eV/atom) = 1.42
- space-group type = Pm-3m (221)

Record 3
A plane-wave DFT calculation with GGA-PBE was carried out for an optimized crystal structure of Nd4Mg3Pd.

Lattice parameters (Å, degrees): 3.8181 3.8181 15.2351 90.00 90.00 90.00
With the nearest neighbours (Å) after each atom.
Fractional coordinates of all 8 atoms:
Mg  0.5000  0.5000  0.2429  8 Nd 3.32-3.37, 1 Pd 3.70
Mg  0.5000  0.5000  0.5000  8 Nd 3.35
Mg  0.5000  0.5000  0.7571  8 Nd 3.32-3.37, 1 Pd 3.70
Nd  0.0000  0.0000  0.8900  4 Pd 3.18, 1 Nd 3.35, 4 Mg 3.37
Nd  0.0000  0.0000  0.1100  4 Pd 3.18, 1 Nd 3.35, 4 Mg 3.37
Nd  0.0000  0.0000  0.3703  8 Mg 3.32-3.35
Nd  0.0000  0.0000  0.6297  8 Mg 3.32-3.35
Pd  0.5000  0.5000  0.0000  8 Nd 3.18

Computed properties:
- density (g/cm3) = 5.7
- DOS(E_F) (states/eV/cell) = 5.9
- energy (eV/atom) = -3.896
- space-group type = P4/mmm (123)
- energy of formation from the pure elements (eV per atom) = -0.26

Record 4
A plane-wave DFT calculation with GGA-PBE was carried out for an optimized crystal structure of Li2NpTiO6.

Lattice parameters (Å, degrees): 5.2787 5.5024 7.6950 90.00 89.99 90.00
With the nearest neighbours (Å) after each atom.
Fractional coordinates of all 20 atoms:
Li  0.0010  0.9890  0.2534  3 O 2.03-2.08
Li  0.4989  0.4890  0.2466  3 O 2.03-2.08
Li  0.5011  0.5110  0.7534  3 O 2.03-2.08
Li  0.9990  0.0110  0.7466  3 O 2.03-2.08
Np  0.0000  0.5000  0.5000  6 O 2.06-2.08
Np  0.5000  0.0000  0.0000  6 O 2.06-2.08
Ti  0.0000  0.5000  0.0000  6 O 1.98
Ti  0.5000  0.0000  0.5000  6 O 1.98
O  0.8827  0.4596  0.7569  1 Ti 1.98, 1 Li 2.03, 1 Np 2.08
O  0.8235  0.1949  0.0618  1 Ti 1.98, 1 Np 2.07, 1 Li 2.08
O  0.8112  0.1829  0.4415  1 Ti 1.98, 1 Li 2.06, 1 Np 2.06
O  0.6889  0.6829  0.0585  1 Ti 1.98, 1 Li 2.06, 1 Np 2.06
O  0.6766  0.6949  0.4382  1 Ti 1.98, 1 Np 2.07, 1 Li 2.08
O  0.6173  0.9596  0.7431  1 Ti 1.98, 1 Li 2.03, 1 Np 2.08
O  0.3827  0.0404  0.2569  1 Ti 1.98, 1 Li 2.03, 1 Np 2.08
O  0.3234  0.3051  0.5618  1 Ti 1.98, 1 Np 2.07, 1 Li 2.08
O  0.3111  0.3171  0.9415  1 Ti 1.98, 1 Li 2.06, 1 Np 2.06
O  0.1765  0.8051  0.9382  1 Ti 1.98, 1 Np 2.07, 1 Li 2.08
O  0.1888  0.8171  0.5585  1 Ti 1.98, 1 Li 2.06, 1 Np 2.06
O  0.1173  0.5404  0.2431  1 Ti 1.98, 1 Li 2.03, 1 Np 2.08

Computed properties:
- density (g/cm3) = 5.9
- DOS(E_F) (states/eV/cell) = 0.2
- energy (eV/atom) = -8.080
- E_form (uncorrected) (eV/atom) = -2.64
- space-group type = P2_1/c (14)

Record 5
A plane-wave DFT calculation with GGA-PBE was carried out for an optimized crystal structure of SrBBr3.

Lattice parameters (Å, degrees): 5.9314 5.9314 5.9314 90.00 90.00 90.00
With the nearest neighbours (Å) after each atom.
Fractional coordinates of all 5 atoms:
Sr  0.0000  0.0000  0.0000  6 Br 2.97
B  0.5000  0.5000  0.5000  12 Br 4.19
Br  0.0000  0.5000  0.0000  2 Sr 2.97
Br  0.0000  0.0000  0.5000  2 Sr 2.97
Br  0.5000  0.0000  0.0000  2 Sr 2.97

Computed properties:
- density (g/cm3) = 2.7
- DOS(E_F) (states/eV/cell) = 0.0
- energy (eV/atom) = -2.814
- E_form (uncorrected) (eV/atom) = -0.14
- space-group type = Pm-3m (221)

Record 6
A plane-wave DFT calculation with GGA-PBE was carried out for an optimized crystal structure of AcGeSe4.

Lattice parameters (Å, degrees): 6.2968 8.1298 10.0243 90.00 90.00 130.46
With the nearest neighbours (Å) after each atom.
Fractional coordinates of all 12 atoms:
Ac  0.9944  0.6465  0.7500  8 Se 3.18-3.25
Ac  0.0056  0.3535  0.2500  8 Se 3.18-3.25
Ge  0.9998  0.1325  0.7500  4 Se 2.37-2.40
Ge  0.0002  0.8675  0.2500  4 Se 2.37-2.40
Se  0.5940  0.7609  0.7500  1 Ge 2.37
Se  0.4060  0.2391  0.2500  1 Ge 2.37
Se  0.3987  0.1602  0.7500  1 Ge 2.37
Se  0.6013  0.8398  0.2500  1 Ge 2.37
Se  0.9956  0.6707  0.0695  1 Ge 2.40
Se  0.0044  0.3293  0.5695  1 Ge 2.40
Se  0.9956  0.6707  0.4305  1 Ge 2.40
Se  0.0044  0.3293  0.9305  1 Ge 2.40

Computed properties:
- density (g/cm3) = 5.2
- DOS(E_F) (states/eV/cell) = 10.1
- energy (eV/atom) = -4.631
- E_form (uncorrected) (eV/atom) = -0.85
- space-group type = P2_1/m (11)